(1)
Material: Ba2CrFe
Method: DFT, PBE
State: relaxed

Cell: 9.762 9.762 9.762 Å, 24.94 24.94 24.94°
Element x y z (fractional)
Ba1 0.241 0.241 0.241
Ba2 0.759 0.759 0.759
Cr1 0.000 0.000 0.000
Fe1 0.500 0.500 0.500

Computed properties:
For the volume, the calculation gives 36.382 Å³ per atom. For the total magnetization, the calculation gives 1.689 μB/atom.

***

(2)
Material: Ba2CrFe
Method: DFT, PBE
State: relaxed

Cell: 5.520 5.520 5.520 Å, 60.00 60.00 60.00°
Element x y z (fractional)
Ba1 0.000 0.000 0.000
Ba2 0.250 0.250 0.250
Cr1 0.500 0.500 0.500
Fe1 0.750 0.750 0.750

Computed properties:
For the volume, the calculation gives 29.726 Å³ per atom. For the total magnetization, the calculation gives 0.432 μB/atom.

***

(3)
Material: Ba2CrFe
Method: DFT, PBE
State: relaxed

Cell: 4.333 6.624 6.624 Å, 45.97 90.00 90.00°
Element x y z (fractional)
Ba1 0.000 0.000 0.000
Ba2 0.500 0.286 0.286
Cr1 0.000 0.682 0.682
Fe1 0.500 0.603 0.603

Computed properties:
For the volume, the calculation gives 34.178 Å³ per atom. For the total magnetization, the calculation gives 0.493 μB/atom.

***

(4)
Material: Ba2CrFe
Method: DFT, PBE
State: relaxed

Cell: 4.042 4.085 8.198 Å, 90.00 91.57 90.00°
Element x y z (fractional)
Ba1 0.016 0.000 0.268
Ba2 0.984 0.000 0.732
Cr1 0.500 0.500 0.000
Fe1 0.500 0.500 0.500

Computed properties:
For the volume, the calculation gives 33.830 Å³ per atom. For the total magnetization, the calculation gives 0.664 μB/atom.

***

Stability check: which of them is least stable? (1).

***

(1)
Material: Ba2CrFe
Method: DFT, PBE
State: relaxed

Cell: 5.686 5.686 5.686 Å, 60.00 60.00 60.00°
Element x y z (fractional)
Ba1 0.250 0.250 0.250
Ba2 0.750 0.750 0.750
Cr1 0.000 0.000 0.000
Fe1 0.500 0.500 0.500

Computed properties:
For the volume, the calculation gives 32.495 Å³ per atom. For the total magnetization, the calculation gives 1.757 μB/atom.

***

(2)
Material: Ba2CrFe
Method: DFT, PBE
State: relaxed

Cell: 5.753 5.753 3.925 Å, 90.07 90.07 90.03°
Element x y z (fractional)
Ba1 0.000 0.500 0.000
Ba2 0.500 0.000 0.000
Cr1 0.000 0.000 0.500
Fe1 0.500 0.500 0.500

Computed properties:
For the volume, the calculation gives 32.469 Å³ per atom. For the total magnetization, the calculation gives 1.733 μB/atom.

***

(3)
Material: Ba2CrFe
Method: DFT, PBE
State: relaxed

Cell: 3.621 3.621 9.325 Å, 90.00 90.00 90.00°
Element x y z (fractional)
Ba1 0.000 0.000 0.000
Ba2 0.500 0.500 0.424
Cr1 0.000 0.000 0.677
Fe1 0.500 0.500 0.754

Computed properties:
For the volume, the calculation gives 30.564 Å³ per atom. For the total magnetization, the calculation gives 1.344 μB/atom.

***

(4)
Material: Ba2CrFe
Method: DFT, PBE
State: relaxed

Cell: 6.427 6.427 6.427 Å, 142.24 127.12 66.79°
Element x y z (fractional)
Ba1 0.000 0.000 0.000
Ba2 0.699 0.199 0.500
Cr1 0.307 0.807 0.500
Fe1 0.403 0.403 0.000

Computed properties:
For the volume, the calculation gives 31.930 Å³ per atom. For the total magnetization, the calculation gives 0.462 μB/atom.

***

Stability check: which of them is least stable? (2).